DFT (PBE) results for a relaxed structure of Cd2ReRu.

Energy relative to the elements (eV per atom): 0.557
Relative energy among the computed polymorphs (meV/atom): 408.3
Calculated volume (Å³/atom): 16.9

Cell and atoms, written as CIF:
```
data_Cd2ReRu
_chemical_formula_sum 'Cd6 Re3 Ru3'
_symmetry_space_group_name_H-M 'R -3 m'
_symmetry_Int_Tables_number 166
_symmetry_space_group_name_Hall '-R 3 2"'
_cell_length_a 2.8555
_cell_length_b 2.8555
_cell_length_c 28.7194
_cell_angle_alpha 90.00
_cell_angle_beta 90.00
_cell_angle_gamma 120.00
loop_
_atom_site_label
_atom_site_type_symbol
_atom_site_fract_x
_atom_site_fract_y
_atom_site_fract_z
Cd1 Cd 0.0000 0.0000 0.2484
Re1 Re 0.0000 0.0000 0.0000
Ru1 Ru 0.0000 0.0000 0.5000
```

***

DFT (PBE) results for a relaxed structure of CdRe2Ru2.

Energy relative to the elements (eV per atom): 0.243
Relative energy among the computed polymorphs (meV/atom): 0.0
Calculated volume (Å³/atom): 16.3

Cell and atoms, written as CIF:
```
data_CdRe2Ru2
_chemical_formula_sum 'Cd2 Re4 Ru4'
_symmetry_space_group_name_H-M 'P 4/m b m'
_symmetry_Int_Tables_number 127
_symmetry_space_group_name_Hall '-P 4 2ab'
_cell_length_a 7.6842
_cell_length_b 7.6842
_cell_length_c 2.7611
_cell_angle_alpha 90.00
_cell_angle_beta 90.00
_cell_angle_gamma 90.00
loop_
_atom_site_label
_atom_site_type_symbol
_atom_site_fract_x
_atom_site_fract_y
_atom_site_fract_z
Cd1 Cd 0.0000 0.0000 0.0000
Re1 Re 0.1198 0.3802 0.0000
Ru1 Ru 0.1668 0.6668 0.5000
```

***

DFT (PBE) results for a relaxed structure of Cd2ReRu.

Energy relative to the elements (eV per atom): 0.614
Relative energy among the computed polymorphs (meV/atom): 465.4
Calculated volume (Å³/atom): 16.9

Cell and atoms, written as CIF:
```
data_Cd2ReRu
_chemical_formula_sum 'Cd4 Re2 Ru2'
_symmetry_space_group_name_H-M 'I -4 m 2'
_symmetry_Int_Tables_number 119
_symmetry_space_group_name_Hall 'I -4 -2'
_cell_length_a 4.3063
_cell_length_b 4.3063
_cell_length_c 7.2802
_cell_angle_alpha 90.00
_cell_angle_beta 90.00
_cell_angle_gamma 90.00
loop_
_atom_site_label
_atom_site_type_symbol
_atom_site_fract_x
_atom_site_fract_y
_atom_site_fract_z
Cd1 Cd 0.0000 0.0000 0.0000
Cd2 Cd 0.0000 0.5000 0.2500
Re1 Re 0.0000 0.5000 0.7500
Ru1 Ru 0.0000 0.0000 0.5000
```

***

DFT (PBE) results for a relaxed structure of Cd2ReRu.

Energy relative to the elements (eV per atom): 0.598
Relative energy among the computed polymorphs (meV/atom): 449.2
Calculated volume (Å³/atom): 17.1

Cell and atoms, written as CIF:
```
data_Cd2ReRu
_chemical_formula_sum 'Cd4 Re2 Ru2'
_symmetry_space_group_name_H-M 'C m m m'
_symmetry_Int_Tables_number 65
_symmetry_space_group_name_Hall '-C 2 2'
_cell_length_a 3.0813
_cell_length_b 4.6229
_cell_length_c 9.5890
_cell_angle_alpha 90.00
_cell_angle_beta 90.00
_cell_angle_gamma 90.00
loop_
_atom_site_label
_atom_site_type_symbol
_atom_site_fract_x
_atom_site_fract_y
_atom_site_fract_z
Cd1 Cd 0.0000 0.0000 0.2448
Re1 Re 0.0000 0.5000 0.5000
Ru1 Ru 0.0000 0.5000 0.0000
```

***

DFT (PBE) results for a relaxed structure of CdRe2Ru.

Energy relative to the elements (eV per atom): 0.601
Calculated volume (Å³/atom): 15.7

Cell and atoms, written as CIF:
```
data_CdRe2Ru
_chemical_formula_sum 'Cd2 Re4 Ru2'
_symmetry_space_group_name_H-M 'C m m m'
_symmetry_Int_Tables_number 65
_symmetry_space_group_name_Hall '-C 2 2'
_cell_length_a 5.3450
_cell_length_b 8.4782
_cell_length_c 2.7719
_cell_angle_alpha 90.00
_cell_angle_beta 90.00
_cell_angle_gamma 90.00
loop_
_atom_site_label
_atom_site_type_symbol
_atom_site_fract_x
_atom_site_fract_y
_atom_site_fract_z
Cd1 Cd 0.0000 0.0000 0.0000
Re1 Re 0.2500 0.2500 0.5000
Ru1 Ru 0.0000 0.5000 0.0000
```

***

DFT (PBE) results for a relaxed structure of Cd2ReRu.

Energy relative to the elements (eV per atom): 0.622
Relative energy among the computed polymorphs (meV/atom): 473.8
Calculated volume (Å³/atom): 17.0

Cell and atoms, written as CIF:
```
data_Cd2ReRu
_chemical_formula_sum 'Cd2 Re1 Ru1'
_symmetry_space_group_name_H-M 'P m m m'
_symmetry_Int_Tables_number 47
_symmetry_space_group_name_Hall '-P 2 2'
_cell_length_a 2.9622
_cell_length_b 4.7060
_cell_length_c 4.8839
_cell_angle_alpha 90.00
_cell_angle_beta 90.00
_cell_angle_gamma 90.00
loop_
_atom_site_label
_atom_site_type_symbol
_atom_site_fract_x
_atom_site_fract_y
_atom_site_fract_z
Cd1 Cd 0.0000 0.0000 0.0000
Cd2 Cd 0.5000 0.5000 0.0000
Re1 Re 0.0000 0.5000 0.5000
Ru1 Ru 0.5000 0.0000 0.5000
```

***

DFT (PBE) results for a relaxed structure of Cd2ReRu.

Energy relative to the elements (eV per atom): 0.689
Relative energy among the computed polymorphs (meV/atom): 540.9
Calculated volume (Å³/atom): 17.1

Cell and atoms, written as CIF:
```
data_Cd2ReRu
_chemical_formula_sum 'Cd4 Re2 Ru2'
_symmetry_space_group_name_H-M 'C m m m'
_symmetry_Int_Tables_number 65
_symmetry_space_group_name_Hall '-C 2 2'
_cell_length_a 5.3821
_cell_length_b 8.9995
_cell_length_c 2.8300
_cell_angle_alpha 90.00
_cell_angle_beta 90.00
_cell_angle_gamma 90.00
loop_
_atom_site_label
_atom_site_type_symbol
_atom_site_fract_x
_atom_site_fract_y
_atom_site_fract_z
Cd1 Cd 0.2500 0.2500 0.0000
Re1 Re 0.0000 0.0000 0.5000
Ru1 Ru 0.0000 0.5000 0.5000
```

***

DFT (PBE) results for a relaxed structure of CdRe2Ru.

Energy relative to the elements (eV per atom): 0.545
Calculated volume (Å³/atom): 15.7

Cell and atoms, written as CIF:
```
data_CdRe2Ru
_chemical_formula_sum 'Cd2 Re4 Ru2'
_symmetry_space_group_name_H-M 'I 4/m m m'
_symmetry_Int_Tables_number 139
_symmetry_space_group_name_Hall '-I 4 2'
_cell_length_a 3.8054
_cell_length_b 3.8054
_cell_length_c 8.6520
_cell_angle_alpha 90.00
_cell_angle_beta 90.00
_cell_angle_gamma 90.00
loop_
_atom_site_label
_atom_site_type_symbol
_atom_site_fract_x
_atom_site_fract_y
_atom_site_fract_z
Cd1 Cd 0.0000 0.0000 0.0000
Re1 Re 0.0000 0.5000 0.2500
Ru1 Ru 0.0000 0.0000 0.5000
```

***

DFT (PBE) results for a relaxed structure of Cd2ReRu.

Energy relative to the elements (eV per atom): 1.188
Relative energy among the computed polymorphs (meV/atom): 1039.8
Calculated volume (Å³/atom): 18.8

Cell and atoms, written as CIF:
```
data_Cd2ReRu
_chemical_formula_sum 'Cd8 Re4 Ru4'
_symmetry_space_group_name_H-M 'I -4 2 d'
_symmetry_Int_Tables_number 122
_symmetry_space_group_name_Hall 'I -4 2bw'
_cell_length_a 7.5479
_cell_length_b 7.5479
_cell_length_c 5.2693
_cell_angle_alpha 90.00
_cell_angle_beta 90.00
_cell_angle_gamma 90.00
loop_
_atom_site_label
_atom_site_type_symbol
_atom_site_fract_x
_atom_site_fract_y
_atom_site_fract_z
Cd1 Cd 0.2432 0.7500 0.1250
Re1 Re 0.0000 0.0000 0.5000
Ru1 Ru 0.0000 0.0000 0.0000
```

***

DFT (PBE) results for a relaxed structure of CdRe2Ru.

Energy relative to the elements (eV per atom): 0.504
Calculated volume (Å³/atom): 15.8

Cell and atoms, written as CIF:
```
data_CdRe2Ru
_chemical_formula_sum 'Cd2 Re4 Ru2'
_symmetry_space_group_name_H-M 'I m m m'
_symmetry_Int_Tables_number 71
_symmetry_space_group_name_Hall '-I 2 2'
_cell_length_a 3.0647
_cell_length_b 4.4499
_cell_length_c 9.2520
_cell_angle_alpha 90.00
_cell_angle_beta 90.00
_cell_angle_gamma 90.00
loop_
_atom_site_label
_atom_site_type_symbol
_atom_site_fract_x
_atom_site_fract_y
_atom_site_fract_z
Cd1 Cd 0.0000 0.0000 0.0000
Re1 Re 0.0000 0.5000 0.2415
Ru1 Ru 0.0000 0.0000 0.5000
```

***

DFT (PBE) results for a relaxed structure of Cd2ReRu.

Energy relative to the elements (eV per atom): 0.620
Relative energy among the computed polymorphs (meV/atom): 471.5
Calculated volume (Å³/atom): 17.0

Cell and atoms, written as CIF:
```
data_Cd2ReRu
_chemical_formula_sum 'Cd2 Re1 Ru1'
_symmetry_space_group_name_H-M 'P 1 2/m 1'
_symmetry_Int_Tables_number 10
_symmetry_space_group_name_Hall '-P 2y'
_cell_length_a 2.7970
_cell_length_b 4.7986
_cell_length_c 5.1121
_cell_angle_alpha 90.00
_cell_angle_beta 97.34
_cell_angle_gamma 90.00
loop_
_atom_site_label
_atom_site_type_symbol
_atom_site_fract_x
_atom_site_fract_y
_atom_site_fract_z
Cd1 Cd 0.2337 0.0000 0.2526
Re1 Re 0.5000 0.5000 0.0000
Ru1 Ru 0.0000 0.5000 0.5000
```

***

DFT (PBE) results for a relaxed structure of CdRe2Ru.

Energy relative to the elements (eV per atom): 0.518
Calculated volume (Å³/atom): 16.0

Cell and atoms, written as CIF:
```
data_CdRe2Ru
_chemical_formula_sum 'Cd2 Re4 Ru2'
_symmetry_space_group_name_H-M 'C m m m'
_symmetry_Int_Tables_number 65
_symmetry_space_group_name_Hall '-C 2 2'
_cell_length_a 2.9151
_cell_length_b 4.6112
_cell_length_c 9.5305
_cell_angle_alpha 90.00
_cell_angle_beta 90.00
_cell_angle_gamma 90.00
loop_
_atom_site_label
_atom_site_type_symbol
_atom_site_fract_x
_atom_site_fract_y
_atom_site_fract_z
Cd1 Cd 0.0000 0.0000 0.0000
Re1 Re 0.0000 0.5000 0.2683
Ru1 Ru 0.0000 0.0000 0.5000
```

***

DFT (PBE) results for a relaxed structure of Cd2ReRu.

Energy relative to the elements (eV per atom): 0.727
Relative energy among the computed polymorphs (meV/atom): 578.2
Calculated volume (Å³/atom): 17.1

Cell and atoms, written as CIF:
```
data_Cd2ReRu
_chemical_formula_sum 'Cd4 Re2 Ru2'
_symmetry_space_group_name_H-M 'I 4/m m m'
_symmetry_Int_Tables_number 139
_symmetry_space_group_name_Hall '-I 4 2'
_cell_length_a 3.8851
_cell_length_b 3.8851
_cell_length_c 9.0821
_cell_angle_alpha 90.00
_cell_angle_beta 90.00
_cell_angle_gamma 90.00
loop_
_atom_site_label
_atom_site_type_symbol
_atom_site_fract_x
_atom_site_fract_y
_atom_site_fract_z
Cd1 Cd 0.0000 0.5000 0.2500
Re1 Re 0.0000 0.0000 0.0000
Ru1 Ru 0.0000 0.0000 0.5000
```

***

DFT (PBE) results for a relaxed structure of Cd2ReRu.

Energy relative to the elements (eV per atom): 0.531
Relative energy among the computed polymorphs (meV/atom): 382.2
Calculated volume (Å³/atom): 17.9

Cell and atoms, written as CIF:
```
data_Cd2ReRu
_chemical_formula_sum 'Cd4 Re2 Ru2'
_symmetry_space_group_name_H-M 'I m m 2'
_symmetry_Int_Tables_number 44
_symmetry_space_group_name_Hall 'I 2 -2'
_cell_length_a 2.8636
_cell_length_b 4.9061
_cell_length_c 10.1973
_cell_angle_alpha 90.00
_cell_angle_beta 90.00
_cell_angle_gamma 90.00
loop_
_atom_site_label
_atom_site_type_symbol
_atom_site_fract_x
_atom_site_fract_y
_atom_site_fract_z
Cd1 Cd 0.0000 0.0000 0.0000
Cd2 Cd 0.0000 0.5000 0.2150
Re1 Re 0.0000 0.5000 0.7610
Ru1 Ru 0.0000 0.0000 0.4606
```

***

DFT (PBE) results for a relaxed structure of CdRe2Ru.

Energy relative to the elements (eV per atom): 0.560
Calculated volume (Å³/atom): 16.3

Cell and atoms, written as CIF:
```
data_CdRe2Ru
_chemical_formula_sum 'Cd2 Re4 Ru2'
_symmetry_space_group_name_H-M 'I m m 2'
_symmetry_Int_Tables_number 44
_symmetry_space_group_name_Hall 'I 2 -2'
_cell_length_a 2.9792
_cell_length_b 4.7216
_cell_length_c 9.2533
_cell_angle_alpha 90.00
_cell_angle_beta 90.00
_cell_angle_gamma 90.00
loop_
_atom_site_label
_atom_site_type_symbol
_atom_site_fract_x
_atom_site_fract_y
_atom_site_fract_z
Cd1 Cd 0.0000 0.0000 0.0000
Re1 Re 0.0000 0.0000 0.4955
Re2 Re 0.0000 0.5000 0.7775
Ru1 Ru 0.0000 0.5000 0.2274
```

***

DFT (PBE) results for a relaxed structure of Cd2ReRu.

Energy relative to the elements (eV per atom): 0.148
Relative energy among the computed polymorphs (meV/atom): 0.0
Calculated volume (Å³/atom): 17.6

Cell and atoms, written as CIF:
```
data_Cd2ReRu
_chemical_formula_sum 'Cd2 Re1 Ru1'
_symmetry_space_group_name_H-M 'P 4 m m'
_symmetry_Int_Tables_number 99
_symmetry_space_group_name_Hall 'P 4 -2'
_cell_length_a 2.9054
_cell_length_b 2.9054
_cell_length_c 8.3273
_cell_angle_alpha 90.00
_cell_angle_beta 90.00
_cell_angle_gamma 90.00
loop_
_atom_site_label
_atom_site_type_symbol
_atom_site_fract_x
_atom_site_fract_y
_atom_site_fract_z
Cd1 Cd 0.0000 0.0000 0.0000
Cd2 Cd 0.5000 0.5000 0.2980
Re1 Re 0.0000 0.0000 0.5587
Ru1 Ru 0.5000 0.5000 0.7454
```

***

DFT (PBE) results for a relaxed structure of Cd2ReRu.

Energy relative to the elements (eV per atom): 0.667
Relative energy among the computed polymorphs (meV/atom): 519.1
Calculated volume (Å³/atom): 17.2

Cell and atoms, written as CIF:
```
data_Cd2ReRu
_chemical_formula_sum 'Cd2 Re1 Ru1'
_symmetry_space_group_name_H-M 'P 4/m m m'
_symmetry_Int_Tables_number 123
_symmetry_space_group_name_Hall '-P 4 2'
_cell_length_a 2.7649
_cell_length_b 2.7649
_cell_length_c 9.0089
_cell_angle_alpha 90.00
_cell_angle_beta 90.00
_cell_angle_gamma 90.00
loop_
_atom_site_label
_atom_site_type_symbol
_atom_site_fract_x
_atom_site_fract_y
_atom_site_fract_z
Cd1 Cd 0.0000 0.0000 0.2430
Re1 Re 0.5000 0.5000 0.5000
Ru1 Ru 0.5000 0.5000 0.0000
```

***

DFT (PBE) results for a relaxed structure of CdReRu.

Energy relative to the elements (eV per atom): 0.776
Relative energy among the computed polymorphs (meV/atom): 556.5
Calculated volume (Å³/atom): 18.6

Cell and atoms, written as CIF:
```
data_CdReRu
_chemical_formula_sum 'Cd4 Re4 Ru4'
_symmetry_space_group_name_H-M 'F -4 3 m'
_symmetry_Int_Tables_number 216
_symmetry_space_group_name_Hall 'F -4 2 3'
_cell_length_a 6.0667
_cell_length_b 6.0667
_cell_length_c 6.0667
_cell_angle_alpha 90.00
_cell_angle_beta 90.00
_cell_angle_gamma 90.00
loop_
_atom_site_label
_atom_site_type_symbol
_atom_site_fract_x
_atom_site_fract_y
_atom_site_fract_z
Cd1 Cd 0.0000 0.0000 0.0000
Re1 Re 0.0000 0.0000 0.5000
Ru1 Ru 0.2500 0.2500 0.7500
```

***

DFT (PBE) results for a relaxed structure of CdReRuS2.

ΔE_f (raw) (kJ per mole of atoms): 99.4
Calculated volume (Å³/atom): 21.9

Cell and atoms, written as CIF:
```
data_CdReRuS2
_chemical_formula_sum 'Cd1 Re1 Ru1 S2'
_symmetry_space_group_name_H-M 'P 4/m m m'
_symmetry_Int_Tables_number 123
_symmetry_space_group_name_Hall '-P 4 2'
_cell_length_a 4.4815
_cell_length_b 4.4815
_cell_length_c 5.4457
_cell_angle_alpha 90.00
_cell_angle_beta 90.00
_cell_angle_gamma 90.00
loop_
_atom_site_label
_atom_site_type_symbol
_atom_site_fract_x
_atom_site_fract_y
_atom_site_fract_z
Cd1 Cd 0.0000 0.0000 0.0000
Re1 Re 0.0000 0.0000 0.5000
Ru1 Ru 0.5000 0.5000 0.0000
S1 S 0.0000 0.5000 0.5000
```

***

DFT (PBE) results for a relaxed structure of CdRe2RuSe.

ΔE_f (raw) (kJ per mole of atoms): 167.4
Calculated volume (Å³/atom): 22.7

Cell and atoms, written as CIF:
```
data_CdRe2RuSe
_chemical_formula_sum 'Cd1 Re2 Ru1 Se1'
_symmetry_space_group_name_H-M 'P 4/m m m'
_symmetry_Int_Tables_number 123
_symmetry_space_group_name_Hall '-P 4 2'
_cell_length_a 4.7107
_cell_length_b 4.7107
_cell_length_c 5.1230
_cell_angle_alpha 90.00
_cell_angle_beta 90.00
_cell_angle_gamma 90.00
loop_
_atom_site_label
_atom_site_type_symbol
_atom_site_fract_x
_atom_site_fract_y
_atom_site_fract_z
Cd1 Cd 0.0000 0.0000 0.0000
Re1 Re 0.0000 0.5000 0.5000
Ru1 Ru 0.0000 0.0000 0.5000
Se1 Se 0.5000 0.5000 0.0000
```